Entry 1:
# AlSb2W, optimized geometry, DFT PBE-GGA
# - calculated total energy (eV per atom) = -5.74
# - V (Å³ per cell) = 81
data_AlSb2W
_chemical_formula_sum 'Al1 Sb2 W1'
_cell_length_a 5.012
_cell_length_b 5.012
_cell_length_c 5.220
_cell_angle_alpha 83.98
_cell_angle_beta 83.98
_cell_angle_gamma 38.61
_space_group_name_H-M_alt 'P 1'
_space_group_IT_number 1
_space_group_name_Hall 'P 1'
loop_
_atom_site_label
_atom_site_type_symbol
_atom_site_fract_x
_atom_site_fract_y
_atom_site_fract_z
Sb1 Sb 0.975 0.975 0.015
Sb2 Sb 0.525 0.525 0.485
Al1 Al 0.750 0.750 0.750
W1 W 0.250 0.250 0.250

Entry 2:
# NdTlPbCl6, optimized geometry, DFT PBE-GGA
# - calculated total energy (eV per atom) = -4.08
# - V (Å³ per cell) = 650
data_NdTlPbCl6
_chemical_formula_sum 'Nd2 Tl2 Pb2 Cl12'
_cell_length_a 7.456
_cell_length_b 7.456
_cell_length_c 13.505
_cell_angle_alpha 90.00
_cell_angle_beta 90.00
_cell_angle_gamma 120.00
_space_group_name_H-M_alt 'P 1'
_space_group_IT_number 1
_space_group_name_Hall 'P 1'
loop_
_atom_site_label
_atom_site_type_symbol
_atom_site_fract_x
_atom_site_fract_y
_atom_site_fract_z
Nd1 Nd 0.667 0.333 0.250
Nd2 Nd 0.333 0.667 0.750
Tl1 Tl 0.000 0.000 0.000
Tl2 Tl 0.000 0.000 0.500
Pb1 Pb 0.333 0.667 0.250
Pb2 Pb 0.667 0.333 0.750
Cl1 Cl 0.643 0.627 0.135
Cl2 Cl 0.984 0.357 0.135
Cl3 Cl 0.357 0.984 0.635
Cl4 Cl 0.016 0.643 0.865
Cl5 Cl 0.373 0.357 0.365
Cl6 Cl 0.984 0.627 0.365
Cl7 Cl 0.627 0.984 0.865
Cl8 Cl 0.643 0.016 0.365
Cl9 Cl 0.016 0.373 0.635
Cl10 Cl 0.373 0.016 0.135
Cl11 Cl 0.627 0.643 0.635
Cl12 Cl 0.357 0.373 0.865